Density functional theory data (PBE) for an optimized crystal structure of K2SeO5.

Values from the calculation:
- E_tot (eV/atom) = -4.6703
- E_form (uncorrected) (kcal/mol of atoms) = -19.87
- density of states at the Fermi level (states/eV per cell) = 3.03
- space group = I4mm

Cell lengths 6.0774, 6.0774, 6.0774 Å; angles 89.48, 120.30, 120.30 degrees
Fractional positions:
K  0.5000  0.2617  0.7617
K  0.5000  0.7617  0.2617
O  0.3905  0.1761  0.1761
O  0.0000  0.7856  0.1761
O  0.6095  0.7856  0.7856
O  0.0000  0.2339  0.2339
Se  0.0000  0.0413  0.0413
O  0.0000  0.1761  0.7856